(1)
Compound: DyHgTe2
Source: the Alexandria database
Functional: PBE
Structure: relaxed

## Properties
Space-group type: R3m
Energy relative to the lowest polymorph listed for this composition (meV per atom): 0
Raw formation energy (eV per formula unit): -3.06

Cell lengths 8.2521, 8.2521, 8.2521 Å; angles 30.93, 30.93, 30.93 degrees
Element x y z (fractional)
Dy: 0.0000 0.0000 0.0000
Hg: 0.1664 0.1664 0.1664
Te: 0.4065 0.4065 0.4065
Te: 0.5906 0.5906 0.5906

(2)
Compound: Dy4HgTe5
Source: the Alexandria database
Functional: PBE
Structure: relaxed

## Properties
Space-group type: C2/m
Raw formation energy (eV per formula unit): -11.00

Cell lengths 10.3495, 10.3495, 9.0501 Å; angles 105.88, 105.88, 24.02 degrees
Element x y z (fractional)
Dy: 0.0238 0.0238 0.2478
Dy: 0.3326 0.3326 0.4528
Dy: 0.6674 0.6674 0.5472
Dy: 0.9762 0.9762 0.7522
Hg: 0.5000 0.5000 0.5000
Te: 0.1226 0.1226 0.7331
Te: 0.1785 0.1785 0.3079
Te: 0.5000 0.5000 0.0000
Te: 0.8215 0.8215 0.6921
Te: 0.8774 0.8774 0.2669

(3)
Compound: DyHgTe2
Source: the Alexandria database
Functional: PBE
Structure: relaxed

## Properties
Space-group type: P3_221
Energy relative to the lowest polymorph listed for this composition (meV per atom): 6
Raw formation energy (eV per formula unit): -3.04

Cell lengths 4.4833, 4.4833, 27.7444 Å; angles 90.00, 90.00, 120.00 degrees
Element x y z (fractional)
Dy: 0.0000 0.6711 0.3333
Dy: 0.3289 0.3289 0.0000
Dy: 0.6711 0.0000 0.6667
Hg: 0.0000 0.6639 0.8333
Hg: 0.3361 0.3361 0.5000
Hg: 0.6639 0.0000 0.1667
Te: 0.0044 0.6669 0.7267
Te: 0.3331 0.3375 0.3934
Te: 0.3375 0.3331 0.6066
Te: 0.6625 0.9956 0.0600
Te: 0.6669 0.0044 0.2733
Te: 0.9956 0.6625 0.9400

(4)
Compound: DyHgTe2
Source: the Alexandria database
Functional: PBE
Structure: relaxed

## Properties
Space-group type: R-3m
Energy relative to the lowest polymorph listed for this composition (meV per atom): 7
Raw formation energy (eV per formula unit): -3.03

Cell lengths 9.6100, 9.6100, 9.6100 Å; angles 26.88, 26.88, 26.88 degrees
Element x y z (fractional)
Dy: 0.0000 0.0000 0.0000
Hg: 0.5000 0.5000 0.5000
Te: 0.3939 0.3939 0.3939
Te: 0.6061 0.6061 0.6061

(5)
Compound: Dy3HgTe2
Source: the Alexandria database
Functional: PBE
Structure: relaxed

## Properties
Space-group type: Immm
Energy relative to the lowest polymorph listed for this composition (meV per atom): 0
Raw formation energy (eV per formula unit): -6.14

Cell lengths 7.7034, 7.7034, 7.7034 Å; angles 148.47, 132.82, 57.86 degrees
Element x y z (fractional)
Dy: 0.0000 0.0000 0.0000
Dy: 0.3388 0.3388 0.0000
Dy: 0.6612 0.6612 0.0000
Hg: 0.5000 0.0000 0.5000
Te: 0.1697 0.6697 0.5000
Te: 0.8303 0.3303 0.5000

(6)
Compound: Dy5HgTe2
Source: the Alexandria database
Functional: PBE
Structure: relaxed

## Properties
Space-group type: Cmcm
Raw formation energy (eV per formula unit): -4.23

Cell lengths 6.9908, 6.9908, 13.1576 Å; angles 90.00, 90.00, 129.30 degrees
Element x y z (fractional)
Dy: 0.0531 0.9469 0.6133
Dy: 0.0531 0.9469 0.8867
Dy: 0.3780 0.6220 0.2500
Dy: 0.3831 0.6169 0.5571
Dy: 0.3831 0.6169 0.9429
Dy: 0.6169 0.3831 0.0571
Dy: 0.6169 0.3831 0.4429
Dy: 0.6220 0.3780 0.7500
Dy: 0.9469 0.0531 0.1133
Dy: 0.9469 0.0531 0.3867
Hg: 0.2548 0.7452 0.7500
Hg: 0.7452 0.2548 0.2500
Te: 0.1886 0.8114 0.0898
Te: 0.1886 0.8114 0.4102
Te: 0.8114 0.1886 0.5898
Te: 0.8114 0.1886 0.9102

(7)
Compound: Dy7Hg2Te2
Source: the Alexandria database
Functional: PBE
Structure: relaxed

## Properties
Space-group type: Imm2
Energy relative to the lowest polymorph listed for this composition (meV per atom): 0
Raw formation energy (eV per formula unit): -7.28

Cell lengths 9.2930, 9.2930, 9.2930 Å; angles 153.11, 69.40, 117.38 degrees
Element x y z (fractional)
Dy: 0.0000 0.0000 0.0000
Dy: 0.2773 0.4026 0.8747
Dy: 0.3005 0.6165 0.6840
Dy: 0.5279 0.4026 0.1253
Dy: 0.6096 0.2473 0.3623
Dy: 0.8850 0.2473 0.6377
Dy: 0.9325 0.6165 0.3160
Hg: 0.1534 0.9197 0.2337
Hg: 0.6860 0.9197 0.7663
Te: 0.2588 0.7588 0.5000
Te: 0.6570 0.6570 0.0000

(8)
Compound: Dy10Hg3Te3
Source: the Alexandria database
Functional: PBE
Structure: relaxed

## Properties
Space-group type: P-62m
Raw formation energy (eV per formula unit): -10.63

Cell lengths 8.8968, 8.8968, 6.4650 Å; angles 90.00, 90.00, 120.00 degrees
Element x y z (fractional)
Dy: 0.0000 0.2408 0.0000
Dy: 0.0000 0.7640 0.5000
Dy: 0.2360 0.2360 0.5000
Dy: 0.2408 0.0000 0.0000
Dy: 0.3333 0.6667 0.2523
Dy: 0.3333 0.6667 0.7477
Dy: 0.6667 0.3333 0.2523
Dy: 0.6667 0.3333 0.7477
Dy: 0.7592 0.7592 0.0000
Dy: 0.7640 0.0000 0.5000
Hg: 0.0000 0.3912 0.5000
Hg: 0.3912 0.0000 0.5000
Hg: 0.6088 0.6088 0.5000
Te: 0.0000 0.6081 0.0000
Te: 0.3919 0.3919 0.0000
Te: 0.6081 0.0000 0.0000

Calculated E_tot (eV per atom), listed in the same order as above: -3.56, -4.54, -3.56, -3.55, -4.42, -4.23, -4.22, -4.19